Material: SiIrPb
Method: DFT, meta-GGA SCAN
State: single point on PBEsol structure

Calculated values
The space group is Imm2 (44). The calculation puts the formation energy without anion corrections at 0.2 eV/f.u. As for the total DFT energy (no corrections): -52.241 eV/atom. For the volume, the calculation gives 18.99 Å³/atom.

Unit cell a=2.9350 b=3.3412 c=6.2212 alpha=105.58 beta=103.64 gamma=90.00
Closest atoms and distances in Å follow each position.
Sites, in units of the cell vectors:
Pb1 0.3405 0.3405 0.6811  2 Pb 2.94, 4 Ir 3.18, 1 Si 3.28
Ir1 0.0366 0.0366 0.0731  4 Si 2.44
Si1 0.6229 0.6229 0.2458  4 Ir 2.44

---

Material: CrCuTeOs2
Method: DFT, meta-GGA SCAN
State: single point on PBEsol structure

Calculated values
The space group is P4/mmm (123). The calculation puts the formation energy without anion corrections at 11.0 eV/f.u. As for the total DFT energy (no corrections): -40.719 eV/atom. For the volume, the calculation gives 21.64 Å³/atom.

Unit cell a=4.7601 b=4.7673 c=4.7673 alpha=90.00 beta=90.00 gamma=90.00
Closest atoms and distances in Å follow each position.
Sites, in units of the cell vectors:
Cr1 0.5000 0.0000 0.0000  2 Te 2.38
Os1 0.0000 0.5000 0.0000  2 Te 2.38
Os2 0.0000 0.0000 0.5000  2 Te 2.38
Te1 0.0000 0.0000 0.0000  2 Cr 2.38, 4 Os 2.38
Cu1 0.5000 0.5000 0.5000  8 Os 3.37, 4 Cr 3.37